Entry 1:
Below is Ho6P2PbS3 after structural relaxation, with properties calculated at the PBE level.

- uncorrected energy (eV per atom) = -6.122
- V (Å³/atom) = 23.015
- ΔE_f (raw) (meV/atom) = -1591
- size of the total moment (Bohr magnetons per cell) = 0.00
- crystal system = monoclinic
- DOS(E_F) (states/eV/f.u.) = 4.18
- symmetry = C2/m (12)

a b c (Å): 8.9825 8.9825 8.1342
angles (deg): 102.43 102.43 25.56
With the nearest neighbours (Å) after each atom.
Fractional coordinates of all 12 atoms:
1 Ho 0.0033 0.0033 0.2739  3 S 2.72-2.89, 1 P 2.82, 2 Pb 2.98
2 Ho 0.3254 0.3254 0.9011  3 S 2.73-2.92, 2 P 2.79, 1 Pb 2.99
3 Ho 0.3295 0.3295 0.4215  3 P 2.76-2.79, 3 S 2.88-2.91
4 Ho 0.6705 0.6705 0.5785  3 P 2.76-2.79, 3 S 2.88-2.91
5 Ho 0.6746 0.6746 0.0989  3 S 2.73-2.92, 2 P 2.79, 1 Pb 2.99
6 Ho 0.9967 0.9967 0.7261  3 S 2.72-2.89, 1 P 2.82, 2 Pb 2.98
7 P 0.1680 0.1680 0.3367  6 Ho 2.76-2.82
8 P 0.8320 0.8320 0.6633  6 Ho 2.76-2.82
9 Pb 0.5000 0.5000 0.0000  6 Ho 2.98-2.99
10 S 0.1656 0.1656 0.8320  6 Ho 2.73-2.92
11 S 0.5000 0.5000 0.5000  6 Ho 2.72-2.91
12 S 0.8344 0.8344 0.1680  6 Ho 2.73-2.92

***

Entry 2:
Below is PmMgZnBi after structural relaxation, with properties calculated at the PBE level.

- uncorrected energy (eV per atom) = -3.109
- V (Å³/atom) = 26.009
- size of the total moment (Bohr magnetons per cell) = 0.00
- crystal system = cubic
- DOS(E_F) (states/eV/f.u.) = 2.95
- symmetry = F-43m (216)

a b c (Å): 7.4659 7.4659 7.4659
angles (deg): 90.00 90.00 90.00
With the nearest neighbours (Å) after each atom.
Fractional coordinates of all 16 atoms:
1 Pm 0.0000 0.0000 0.0000  4 Bi 3.23, 4 Zn 3.23
2 Pm 0.0000 0.5000 0.5000  4 Bi 3.23, 4 Zn 3.23
3 Pm 0.5000 0.0000 0.5000  4 Bi 3.23, 4 Zn 3.23
4 Pm 0.5000 0.5000 0.0000  4 Bi 3.23, 4 Zn 3.23
5 Mg 0.0000 0.0000 0.5000  4 Bi 3.23, 4 Zn 3.23
6 Mg 0.0000 0.5000 0.0000  4 Bi 3.23, 4 Zn 3.23
7 Mg 0.5000 0.0000 0.0000  4 Bi 3.23, 4 Zn 3.23
8 Mg 0.5000 0.5000 0.5000  4 Bi 3.23, 4 Zn 3.23
9 Zn 0.2500 0.2500 0.7500  4 Mg 3.23, 4 Pm 3.23
10 Zn 0.2500 0.7500 0.2500  4 Mg 3.23, 4 Pm 3.23
11 Zn 0.7500 0.2500 0.2500  4 Mg 3.23, 4 Pm 3.23
12 Zn 0.7500 0.7500 0.7500  4 Mg 3.23, 4 Pm 3.23
13 Bi 0.2500 0.2500 0.2500  4 Mg 3.23, 4 Pm 3.23
14 Bi 0.2500 0.7500 0.7500  4 Mg 3.23, 4 Pm 3.23
15 Bi 0.7500 0.2500 0.7500  4 Mg 3.23, 4 Pm 3.23
16 Bi 0.7500 0.7500 0.2500  4 Mg 3.23, 4 Pm 3.23

***

Entry 3:
Below is InPd2Br after structural relaxation, with properties calculated at the PBE level.

- uncorrected energy (eV per atom) = -3.723
- V (Å³/atom) = 21.745
- ΔE_f (raw) (meV/atom) = -24
- size of the total moment (Bohr magnetons per cell) = 0.00
- crystal system = tetragonal
- DOS(E_F) (states/eV/f.u.) = 0.04
- symmetry = I-42d (122)

a b c (Å): 4.4451 4.4451 17.6087
angles (deg): 90.00 90.00 90.00
With the nearest neighbours (Å) after each atom.
Fractional coordinates of all 16 atoms:
1 In 0.0000 0.0000 0.0000  4 Pd 2.71
2 In 0.0000 0.5000 0.2500  4 Pd 2.71
3 In 0.5000 0.0000 0.7500  4 Pd 2.71
4 In 0.5000 0.5000 0.5000  4 Pd 2.71
5 Pd 0.2478 0.2500 0.6250  2 Br 2.70, 2 In 2.71
6 Pd 0.2500 0.7478 0.8750  2 Br 2.70, 2 In 2.71
7 Pd 0.2500 0.7522 0.3750  2 Br 2.70, 2 In 2.71
8 Pd 0.2522 0.2500 0.1250  2 Br 2.70, 2 In 2.71
9 Pd 0.7478 0.7500 0.1250  2 Br 2.70, 2 In 2.71
10 Pd 0.7500 0.2478 0.3750  2 Br 2.70, 2 In 2.71
11 Pd 0.7500 0.2522 0.8750  2 Br 2.70, 2 In 2.71
12 Pd 0.7522 0.7500 0.6250  2 Br 2.70, 2 In 2.71
13 Br 0.0000 0.0000 0.5000  4 Pd 2.70
14 Br 0.0000 0.5000 0.7500  4 Pd 2.70
15 Br 0.5000 0.0000 0.2500  4 Pd 2.70
16 Br 0.5000 0.5000 0.0000  4 Pd 2.70